No. 1
Entry from the Alexandria database: a relaxed structure of InFe3I12 (PBE).

```
InFe3I12
1.0
15.503 0.000 0.000
-7.752 13.426 0.000
0.000 0.000 7.930
In Fe I
2 6 24
direct
0.333 0.667 0.250
0.667 0.333 0.750
0.129 0.432 0.750
0.303 0.871 0.750
0.432 0.303 0.250
0.568 0.697 0.750
0.697 0.129 0.250
0.871 0.568 0.250
0.016 0.503 0.750
0.039 0.246 0.750
0.207 0.961 0.750
0.238 0.756 0.013
0.238 0.756 0.487
0.244 0.481 0.013
0.244 0.481 0.487
0.246 0.207 0.250
0.481 0.238 0.513
0.481 0.238 0.987
0.488 0.984 0.750
0.497 0.512 0.750
0.503 0.488 0.250
0.512 0.016 0.250
0.519 0.762 0.013
0.519 0.762 0.487
0.754 0.793 0.750
0.756 0.519 0.513
0.756 0.519 0.987
0.762 0.244 0.513
0.762 0.244 0.987
0.793 0.039 0.250
0.961 0.754 0.250
0.984 0.497 0.250
```

The final energy is -3.074 eV/atom.

***

No. 2
Entry from the Alexandria database: a relaxed structure of InFeI4 (PBE).

```
InFeI4
1.0
6.906 0.000 0.000
0.000 6.906 0.000
0.000 0.000 12.574
In Fe I
2 2 8
direct
0.000 0.000 0.000
0.000 0.000 0.500
0.000 0.500 0.250
0.500 0.000 0.750
0.233 0.291 0.363
0.233 0.709 0.137
0.291 0.233 0.863
0.291 0.767 0.637
0.709 0.233 0.637
0.709 0.767 0.863
0.767 0.291 0.137
0.767 0.709 0.363
```

The final energy is -3.152 eV/atom.

***

No. 3
Entry from the Alexandria database: a relaxed structure of In3FeI (PBE).

```
In3FeI
1.0
5.206 0.000 0.000
0.000 5.206 0.000
0.000 0.000 5.206
In Fe I
3 1 1
direct
0.000 0.000 0.500
0.000 0.500 0.000
0.500 0.000 0.000
0.000 0.000 0.000
0.500 0.500 0.500
```

As for the energy relative to the lowest polymorph listed for this composition: 0.0000 eV/atom. The final energy is -3.538 eV/atom.